Entry 1:
NdDyGeRh: optimized geometry, PBE.

```
NdDyGeRh
1.0
0.0000 3.5641 3.5641
3.5641 0.0000 3.5641
3.5641 3.5641 0.0000
Nd Dy Ge Rh
1 1 1 1
direct
0.0000 0.0000 0.0000 Nd
0.5000 0.5000 0.5000 Dy
0.7500 0.7500 0.7500 Ge
0.2500 0.2500 0.2500 Rh
```

Results
Distance to the lowest polymorph of the same formula = 159 meV per atom
Crystal system = cubic
DOS at the Fermi energy = 2.5 states/eV per cell
ρ = 8.844 g/cm³
DFT total energy = -5.992 eV per atom
DFT formation energy = -2.63 eV/f.u.


Entry 2:
Nd2DyGe3Rh4: optimized geometry, PBE.

```
Nd2DyGe3Rh4
1.0
4.1951 0.0000 0.0000
0.0000 4.1951 0.0000
0.0000 0.0000 11.2025
Nd Dy Ge Rh
2 1 3 4
direct
0.0000 0.5000 0.2296 Nd
0.5000 0.0000 0.7704 Nd
0.0000 0.0000 0.5000 Dy
0.0000 0.5000 0.8787 Ge
0.5000 0.0000 0.1213 Ge
0.5000 0.5000 0.5000 Ge
0.0000 0.0000 0.0000 Rh
0.0000 0.5000 0.6579 Rh
0.5000 0.0000 0.3421 Rh
0.5000 0.5000 0.0000 Rh
```

Results
Crystal system = tetragonal
DOS at the Fermi energy = 6.4 states/eV per cell
ρ = 9.101 g/cm³
DFT total energy = -6.619 eV per atom
DFT formation energy = -8.79 eV/f.u.


Entry 3:
NdDyGeRu: optimized geometry, PBE.

```
NdDyGeRu
1.0
3.8711 0.0000 0.0000
0.0000 2.1633 5.5823
0.0000 -2.1633 5.5823
Nd Dy Ge Ru
1 1 1 1
direct
0.0000 0.0000 0.0000 Nd
0.5000 0.7194 0.7194 Dy
0.5000 0.4136 0.4136 Ge
0.0000 0.2650 0.2650 Ru
```

Results
Crystal system = orthorhombic
DOS at the Fermi energy = 1.9 states/eV per cell
ρ = 8.533 g/cm³
DFT total energy = -6.392 eV per atom
DFT formation energy = -2.30 eV/f.u.


Entry 4:
NdDyGeS: optimized geometry, PBE.

```
NdDyGeS
1.0
2.0590 1.1887 6.7629
-2.0590 1.1887 6.7629
0.0000 -2.3775 6.7629
Nd Dy Ge S
1 1 1 1
direct
0.0000 0.0000 0.0000 Nd
0.4995 0.4995 0.4995 Dy
0.2469 0.2469 0.2469 Ge
0.7535 0.7535 0.7535 S
```

Results
Crystal system = trigonal
DOS at the Fermi energy = 1.5 states/eV per cell
ρ = 6.879 g/cm³
DFT total energy = -5.971 eV per atom


Entry 5:
Nd2DyZn2Ge2: optimized geometry, PBE.

```
Nd2DyZn2Ge2
1.0
2.0868 1.2048 11.4034
-2.0868 1.2048 11.4034
0.0000 -2.4096 11.4034
Nd Dy Zn Ge
2 1 2 2
direct
0.1212 0.1212 0.1212 Nd
0.8788 0.8788 0.8788 Nd
0.0000 0.0000 0.0000 Dy
0.3951 0.3951 0.3951 Zn
0.6049 0.6049 0.6049 Zn
0.2763 0.2763 0.2763 Ge
0.7237 0.7237 0.7237 Ge
```

Results
Crystal system = trigonal
DOS at the Fermi energy = 5.2 states/eV per cell
ρ = 7.019 g/cm³
DFT total energy = -4.179 eV per atom
DFT formation energy = -3.34 eV/f.u.


Entry 6:
NdDyZnGe: optimized geometry, PBE.

```
NdDyZnGe
1.0
0.0000 3.6111 3.6111
3.6111 0.0000 3.6111
3.6111 3.6111 0.0000
Nd Dy Zn Ge
1 1 1 1
direct
0.0000 0.0000 0.0000 Nd
0.5000 0.5000 0.5000 Dy
0.2500 0.2500 0.2500 Zn
0.7500 0.7500 0.7500 Ge
```

Results
Distance to the lowest polymorph of the same formula = 75 meV per atom
Crystal system = cubic
DOS at the Fermi energy = 2.6 states/eV per cell
ρ = 7.842 g/cm³
DFT total energy = -4.334 eV per atom
DFT formation energy = -2.07 eV/f.u.


Entry 7:
NdDyZnGe: optimized geometry, PBE.

```
NdDyZnGe
1.0
4.1367 0.0000 0.0000
0.0000 2.1276 5.5896
0.0000 -2.1276 5.5896
Nd Dy Zn Ge
1 1 1 1
direct
0.0000 0.0000 0.0000 Nd
0.5000 0.2831 0.2831 Dy
0.5000 0.5749 0.5749 Zn
0.0000 0.7212 0.7212 Ge
```

Results
Distance to the lowest polymorph of the same formula = 0 meV per atom
Crystal system = orthorhombic
DOS at the Fermi energy = 4.2 states/eV per cell
ρ = 7.507 g/cm³
DFT total energy = -4.409 eV per atom
DFT formation energy = -2.38 eV/f.u.


Entry 8:
NdDy2Zn2Ge2: optimized geometry, PBE.

```
NdDy2Zn2Ge2
1.0
2.0794 1.2005 11.2341
-2.0794 1.2005 11.2341
0.0000 -2.4010 11.2341
Nd Dy Zn Ge
1 2 2 2
direct
0.0000 0.0000 0.0000 Nd
0.1240 0.1240 0.1240 Dy
0.8760 0.8760 0.8760 Dy
0.3932 0.3932 0.3932 Zn
0.6068 0.6068 0.6068 Zn
0.2644 0.2644 0.2644 Ge
0.7356 0.7356 0.7356 Ge
```

Results
Crystal system = trigonal
DOS at the Fermi energy = 7.1 states/eV per cell
ρ = 7.356 g/cm³
DFT total energy = -4.140 eV per atom
DFT formation energy = -3.22 eV/f.u.


Entry 9:
Dy2Ni3Ge4: optimized geometry, PBE.

```
Dy2Ni3Ge4
1.0
2.7893 -7.2521 0.0000
2.7893 7.2521 0.0000
0.0000 0.0000 7.2586
Dy Ni Ge
4 6 8
direct
0.1106 0.8894 0.9065 Dy
0.3894 0.6106 0.4065 Dy
0.6106 0.3894 0.5935 Dy
0.8894 0.1106 0.0935 Dy
0.0000 0.0000 0.5000 Ni
0.0247 0.4753 0.7500 Ni
0.4753 0.0247 0.2500 Ni
0.5000 0.5000 0.0000 Ni
0.5247 0.9753 0.7500 Ni
0.9753 0.5247 0.2500 Ni
0.1838 0.8162 0.5250 Ge
0.1914 0.3086 0.7500 Ge
0.3086 0.1914 0.2500 Ge
0.3162 0.6838 0.0250 Ge
0.6838 0.3162 0.9750 Ge
0.6914 0.8086 0.7500 Ge
0.8086 0.6914 0.2500 Ge
0.8162 0.1838 0.4750 Ge
```

Results
Crystal system = orthorhombic
DOS at the Fermi energy = 10.8 states/eV per cell
ρ = 8.953 g/cm³
DFT total energy = -5.632 eV per atom
DFT formation energy = -5.67 eV/f.u.


Entry 10:
Dy3Ni6Ge5: optimized geometry, PBE.

```
Dy3Ni6Ge5
1.0
3.9926 0.0000 0.0000
0.0000 12.1878 0.0000
0.0000 0.0000 9.2518
Dy Ni Ge
6 12 10
direct
0.2500 0.0786 0.2449 Dy
0.2500 0.4214 0.2449 Dy
0.2500 0.7500 0.2479 Dy
0.7500 0.2500 0.7521 Dy
0.7500 0.5786 0.7551 Dy
0.7500 0.9214 0.7551 Dy
0.2500 0.0596 0.5919 Ni
0.2500 0.2500 0.4959 Ni
0.2500 0.2500 0.9987 Ni
0.2500 0.4404 0.5919 Ni
0.2500 0.5830 0.0019 Ni
0.2500 0.9170 0.0019 Ni
0.7500 0.0830 0.9981 Ni
0.7500 0.4170 0.9981 Ni
0.7500 0.5596 0.4081 Ni
0.7500 0.7500 0.0013 Ni
0.7500 0.7500 0.5041 Ni
0.7500 0.9404 0.4081 Ni
0.2500 0.0837 0.8559 Ge
0.2500 0.4163 0.8559 Ge
0.2500 0.6311 0.5258 Ge
0.2500 0.7500 0.8547 Ge
0.2500 0.8689 0.5258 Ge
0.7500 0.1311 0.4742 Ge
0.7500 0.2500 0.1453 Ge
0.7500 0.3689 0.4742 Ge
0.7500 0.5837 0.1441 Ge
0.7500 0.9163 0.1441 Ge
```

Results
Crystal system = orthorhombic
DOS at the Fermi energy = 19.6 states/eV per cell
ρ = 8.873 g/cm³
DFT total energy = -5.786 eV per atom
DFT formation energy = -9.42 eV/f.u.


Entry 11:
DyNi8Ge2: optimized geometry, PBE.

```
DyNi8Ge2
1.0
5.7512 0.0000 0.0000
0.0000 5.7512 0.0000
0.0000 0.0000 4.9218
Dy Ni Ge
1 8 2
direct
0.0000 0.0000 0.0000 Dy
0.2943 0.2943 0.2451 Ni
0.2943 0.2943 0.7549 Ni
0.2943 0.7057 0.2451 Ni
0.2943 0.7057 0.7549 Ni
0.7057 0.2943 0.2451 Ni
0.7057 0.2943 0.7549 Ni
0.7057 0.7057 0.2451 Ni
0.7057 0.7057 0.7549 Ni
0.0000 0.5000 0.5000 Ge
0.5000 0.0000 0.5000 Ge
```

Results
Crystal system = tetragonal
DOS at the Fermi energy = 12.2 states/eV per cell
ρ = 7.929 g/cm³
DFT total energy = -5.353 eV per atom
DFT formation energy = 1.20 eV/f.u.


Entry 12:
DyNi6Ge4: optimized geometry, PBE.

```
DyNi6Ge4
1.0
6.8213 0.0000 0.0000
-3.4107 5.9075 0.0000
0.0000 0.0000 3.7754
Dy Ni Ge
1 6 4
direct
0.0000 0.0000 0.0000 Dy
0.2053 0.4106 0.5000 Ni
0.2053 0.7947 0.5000 Ni
0.5370 0.0739 0.0000 Ni
0.5370 0.4630 0.0000 Ni
0.5894 0.7947 0.5000 Ni
0.9261 0.4630 0.0000 Ni
0.3333 0.6667 0.0000 Ge
0.3836 0.1918 0.5000 Ge
0.8082 0.1918 0.5000 Ge
0.8082 0.6164 0.5000 Ge
```

Results
Crystal system = hexagonal
DOS at the Fermi energy = 5.2 states/eV per cell
ρ = 8.789 g/cm³
DFT total energy = -5.744 eV per atom
DFT formation energy = -5.43 eV/f.u.


| no. | magnetization (μB/f.u.) |
| --- | --- |
| 1 | 0.000 |
| 2 | 0.000 |
| 3 | 0.000 |
| 4 | 0.000 |
| 5 | 0.912 |
| 6 | 0.000 |
| 7 | 0.199 |
| 8 | 0.000 |
| 9 | 0.000 |
| 10 | 0.000 |
| 11 | 0.000 |
| 12 | 0.000 |